[1]
Material: FePtAu3
Method: DFT, PBE
State: optimized geometry

Values from the calculation:
Space-group type: Pm-3m
Formation energy, eV/atom: 1.070
E_tot, Ry/atom: -0.2791

Cell lengths 4.7262, 4.7262, 4.7262 Å; angles 90.00, 90.00, 90.00 degrees
Closest atoms and distances in Å follow each position.
Atoms (fractional coordinates):
Au 0.0000 0.5000 0.0000  2 Fe 2.36
Au 0.0000 0.0000 0.5000  2 Fe 2.36
Au 0.5000 0.0000 0.0000  2 Fe 2.36
Fe 0.0000 0.0000 0.0000  6 Au 2.36
Pt 0.5000 0.5000 0.5000  12 Au 3.34

---

[2]
Material: Zr2Cr2Os
Method: DFT, PBE
State: optimized geometry

Values from the calculation:
Space-group type: P4/mbm
Formation energy, eV/atom: 0.037
E_tot, Ry/atom: -0.6966

Cell lengths 6.2316, 6.2316, 4.3778 Å; angles 90.00, 90.00, 90.00 degrees
Closest atoms and distances in Å follow each position.
Atoms (fractional coordinates):
Cr 0.3732 0.8732 0.0000  1 Cr 2.24, 2 Os 2.46
Cr 0.8732 0.6268 0.0000  1 Cr 2.24, 2 Os 2.46
Cr 0.6268 0.1268 0.0000  1 Cr 2.24, 2 Os 2.46
Cr 0.1268 0.3732 0.0000  1 Cr 2.24, 2 Os 2.46
Os 0.0000 0.0000 0.0000  4 Cr 2.46
Os 0.5000 0.5000 0.0000  4 Cr 2.46
Zr 0.1802 0.6802 0.5000  6 Cr 2.77-2.93
Zr 0.6802 0.8198 0.5000  6 Cr 2.77-2.93
Zr 0.8198 0.3198 0.5000  6 Cr 2.77-2.93
Zr 0.3198 0.1802 0.5000  6 Cr 2.77-2.93

---

[3]
Material: MnIrBr2
Method: DFT, PBE
State: optimized geometry

Values from the calculation:
Space-group type: C2/m
Formation energy from raw total energies, meV/atom: 109
E_tot, Ry/atom: -0.3848

Cell lengths 7.8965, 7.8965, 4.1241 Å; angles 89.62, 89.62, 24.03 degrees
Closest atoms and distances in Å follow each position.
Atoms (fractional coordinates):
Br 0.8909 0.8909 0.0078  1 Ir 2.43
Br 0.6091 0.6091 0.4922  1 Ir 2.43
Ir 0.7500 0.7500 0.7500  2 Br 2.43, 4 Mn 2.64
Mn 0.2500 0.2500 0.2500  4 Ir 2.64, 4 Br 2.90

---

[4]
Material: Li4Pa3GeN8
Method: DFT, PBE
State: optimized geometry

Values from the calculation:
Space-group type: C2/m
Formation energy from raw total energies, meV/atom: -814
E_tot, Ry/atom: -0.5530

Cell lengths 6.5758, 6.2744, 7.0556 Å; angles 120.51, 117.77, 90.00 degrees
Closest atoms and distances in Å follow each position.
Atoms (fractional coordinates):
Li 0.5000 0.0000 0.0000  2 N 2.24
Li 0.5000 0.0000 0.5000  4 N 2.31-2.39
Li 0.0000 0.0000 0.0000  4 N 2.29
Li 0.0000 0.0000 0.5000  4 N 2.31-2.39
Pa 0.5000 0.5000 0.0000  6 N 2.28-2.31
Pa 0.5000 0.5000 0.5000  6 N 2.21-2.37
Pa 0.0000 0.5000 0.5000  6 N 2.21-2.37
Ge 0.0000 0.5000 0.0000  4 N 2.01
N 0.1969 0.6932 0.9542  1 Ge 2.01
N 0.2812 0.7646 0.5625  2 Pa 2.21, 3 Li 2.24-2.39
N 0.2782 0.2871 0.5563  3 Pa 2.27-2.28, 2 Li 2.31
N 0.7573 0.6932 0.9542  1 Ge 2.01
N 0.2427 0.3068 0.0458  1 Ge 2.01
N 0.7218 0.7129 0.4437  3 Pa 2.27-2.28, 2 Li 2.31
N 0.7188 0.2354 0.4375  2 Pa 2.21, 3 Li 2.24-2.39
N 0.8031 0.3068 0.0458  1 Ge 2.01

---

> Which of these has the highest E_tot?

FePtAu3